No. 1
Density functional theory data (PBE-GGA) for a relaxed Zr2Pb crystal.

Calculated values
Density of states at the Fermi level ... 0.756 states/eV per atom
Uncorrected energy ... -7.010 eV per atom
Size of the total moment ... 0.00 μB per atom

a b c (Å): 12.5687 3.2201 7.6221
angles (deg): 90.00 107.50 90.00
Space group C2/m (No. 12)
Symmetry-distinct sites (fractional):
Zr 0.0386 0.0000 0.3275 [4 per cell]
Zr 0.1996 0.5000 0.6419 [4 per cell]
Pb 0.1302 0.5000 0.0155 [4 per cell]

=====

No. 2
Density functional theory data (PBE-GGA) for a relaxed Zr2Pb crystal.

Calculated values
Density of states at the Fermi level ... 0.376 states/eV per atom
Uncorrected energy ... -7.073 eV per atom
Size of the total moment ... 0.00 μB per atom

a b c (Å): 6.9978 6.9978 5.8886
angles (deg): 90.00 90.00 90.00
Space group I4/mcm (No. 140)
Symmetry-distinct sites (fractional):
Zr 0.1475 0.3525 0.0000 [8 per cell]
Pb 0.0000 0.0000 0.2500 [4 per cell]

=====

No. 3
Density functional theory data (PBE-GGA) for a relaxed Zr2Pb crystal.

Calculated values
Density of states at the Fermi level ... 0.959 states/eV per atom
Uncorrected energy ... -6.480 eV per atom
Size of the total moment ... 0.25 μB per atom

a b c (Å): 6.9239 6.9239 6.9239
angles (deg): 90.00 90.00 90.00
Space group Pa-3 (No. 205)
Symmetry-distinct sites (fractional):
Zr 0.1270 0.1270 0.1270 [8 per cell]
Pb 0.0000 0.0000 0.5000 [4 per cell]

=====

No. 4
Density functional theory data (PBE-GGA) for a relaxed Zr3Pb crystal.

Calculated values
Density of states at the Fermi level ... 1.011 states/eV per atom
Uncorrected energy ... -7.389 eV per atom
Size of the total moment ... 0.00 μB per atom

a b c (Å): 3.3127 3.3127 10.2035
angles (deg): 90.00 90.00 120.00
Space group P-6m2 (No. 187)
Symmetry-distinct sites (fractional):
Zr 0.0000 0.0000 0.0000 [1 per cell]
Zr 0.6667 0.3333 0.2470 [2 per cell]
Pb 0.0000 0.0000 0.5000 [1 per cell]

=====

> What is the formula in the fourth record?

Zr3Pb

=====

> Which formula does entry 2 have?

Zr2Pb

=====

> Which value of uncorrected energy does entry 4 give?

-7.389 eV per atom